Below is a relaxed PmMnBO4 crystal, with properties calculated at the GGA+U level.

abc: 5.910 6.035 6.035
angles: 67.51 60.68 60.68
Fractional positions:
Mn (0.500, 0.000, 0.500)
O (0.720, 0.245, 0.745)
O (0.280, 0.755, 0.255)
Pm (0.000, 0.000, 0.000)
O (0.711, 0.755, 0.255)
O (0.289, 0.245, 0.745)
Pm (0.000, 0.500, 0.500)
B (0.384, 0.366, 0.866)
O (0.718, 0.715, 0.848)
B (0.616, 0.634, 0.134)
O (0.282, 0.285, 0.152)
Mn (0.000, 0.000, 0.500)
O (0.282, 0.652, 0.785)
O (0.718, 0.348, 0.215)

Summary:
For the density of states at the Fermi level, the calculation gives 1.98 states/eV/f.u. The total DFT energy (no corrections) is -7.6022 eV/atom. Its total moment is 9.6 μB per cell.